[1]
4
Lattice="-1.7927 2.6111 2.9116 -2.6193 -1.6098 3.0094 2.3764 -0.3506 4.9560" Properties=species:S:1:pos:R:3 comment="ThSi2W PBE optimized geometry" raw_formation_energy_mev_per_atom=-319.7 volume_a3_per_atom=19.7 n_ef_per_ev_atom=0.747 magnetic_moment_mub_per_fu=0.00 pbc="T T T"
Si -0.9405 0.2394 2.3847
W 0.0000 0.0000 0.0000
Si -1.0951 0.4112 8.4924
Th -1.0178 0.3253 5.4385

---

[2]
3
Lattice="-3.3279 -2.2877 1.0460 0.2299 -2.2422 -4.1725 2.3536 -1.7116 3.7445" Properties=species:S:1:pos:R:3 comment="YThSi PBE optimized geometry" raw_formation_energy_mev_per_atom=-140.2 volume_a3_per_atom=27.1 n_ef_per_ev_atom=1.146 magnetic_moment_mub_per_fu=0.00 pbc="T T T"
Si -3.1576 -2.1707 0.9924
Y -1.6193 -3.8232 -0.7298
Th 0.7046 -2.5354 1.4013

---

[3]
3
Lattice="4.9157 0.0000 0.0000 2.4578 4.2571 0.0000 2.4578 1.4190 4.0136" Properties=species:S:1:pos:R:3 comment="YThSi PBE optimized geometry" raw_formation_energy_mev_per_atom=-340.1 volume_a3_per_atom=28.0 n_ef_per_ev_atom=0.695 magnetic_moment_mub_per_fu=0.00 pbc="T T T"
Th 4.9157 2.8381 2.0068
Y 0.0000 0.0000 0.0000
Si 2.4578 1.4190 1.0034